# LaTl2In

A relaxed structure of LaTl2In (GGA-PBE, Alexandria via LeMat-Bulk).

Cell and atoms, written as CIF:
```
data_LaTl2In
_chemical_formula_sum 'La1 Tl2 In1'
_symmetry_space_group_name_H-M 'P 1'
_symmetry_Int_Tables_number 1
_cell_length_a 4.865
_cell_length_b 4.865
_cell_length_c 4.843
_cell_angle_alpha 90.00
_cell_angle_beta 90.00
_cell_angle_gamma 90.00
loop_
_symmetry_equiv_pos_as_xyz
'x,y,z'
loop_
_atom_site_label
_atom_site_fract_x
_atom_site_fract_y
_atom_site_fract_z
_atom_site_occupancy
La1 0.000 0.000 0.000 1
Tl1 0.000 0.500 0.500 1
Tl2 0.500 0.000 0.500 1
In1 0.500 0.500 0.000 1
```

Computed properties:
M_tot: 0.00 μB/cell
Energy relative to the elements: -0.39 eV/atom
Raw total energy: -13.978 eV per cell
Calculated density: 9.60 Mg/m³
V: 28.7 A^3/atom
Symmetry: No. 123